First-principles (PBE) data for a relaxed structure of ZnH, as listed in Alexandria via LeMat-Bulk.

abc: 2.701 9.390 5.435
angles: 90.00 90.00 90.00
Space group Pmmn (No. 59, origin choice 2)
Symmetry-distinct sites (fractional):
Zn: 0.250 0.121 0.221 (multiplicity 4)
Zn: 0.250 0.750 0.188 (multiplicity 2)
H: 0.250 0.250 0.594 (multiplicity 2)
H: 0.250 0.556 0.203 (multiplicity 4)

## Properties
- E: -2.0149 eV per atom

=====

First-principles (PBE) data for a relaxed structure of Th2FeNi3Ge4, as listed in Alexandria via LeMat-Bulk.

abc: 4.190 4.190 9.646
angles: 90.00 90.00 90.00
Space group P-4m2 (No. 115)
Symmetry-distinct sites (fractional):
Th: 0.000 0.500 0.245 (multiplicity 2)
Fe: 0.500 0.500 0.000 (multiplicity 1)
Ni: 0.000 0.000 0.000 (multiplicity 1)
Ni: 0.000 0.500 0.623 (multiplicity 2)
Ge: 0.000 0.000 0.500 (multiplicity 1)
Ge: 0.000 0.500 0.873 (multiplicity 2)
Ge: 0.500 0.500 0.500 (multiplicity 1)

## Properties
- E: -6.5737 eV per atom

=====

Question: Number 2 is which compound?
Answer: Th2FeNi3Ge4

=====

Question: What is the formula in the second record?
Answer: Th2FeNi3Ge4